Here is a relaxed structure of La2NbGeN5 from the Alexandria database. Energies are from GGA-PBE.

Summary:
Energy relative to the elements, uncorrected, eV per atom: -0.9300
V, Å³ per cell: 504.9
M_tot, μB per formula unit: 0.00
DFT total energy, eV/atom: -8.28

a b c (Å): 3.2796 14.8459 10.3705
angles (deg): 90.00 90.00 90.00
Space group Cmc2_1 (No. 36)
Symmetry-distinct sites (fractional):
La 0.0000 0.1127 0.0000 [4 per cell]
La 0.0000 0.1250 0.6134 [4 per cell]
Nb 0.0000 0.2191 0.3268 [4 per cell]
Ge 0.0000 0.4479 0.7624 [4 per cell]
N 0.0000 0.0451 0.3577 [4 per cell]
N 0.0000 0.2874 0.9586 [4 per cell]
N 0.0000 0.3206 0.6936 [4 per cell]
N 0.0000 0.3459 0.3108 [4 per cell]
N 0.0000 0.4991 0.1010 [4 per cell]